(1)
Density functional theory data (PBE-GGA) for a relaxed ReSiNi2 crystal.

Lattice parameters (Å, degrees): 8.9611 8.9611 8.9611 157.42 157.42 32.15
Sites, in units of the cell vectors:
Re 0.0000 0.0000 0.0000
Re 0.7500 0.2500 0.5000
Si 0.2500 0.7500 0.5000
Si 0.5000 0.5000 0.0000
Ni 0.1354 0.6250 0.0104
Ni 0.3750 0.3854 0.5104
Ni 0.6146 0.1250 0.9896
Ni 0.8750 0.8646 0.4896

Summary:
raw formation energy = 307 meV/atom
space group = No. 122
crystal system = tetragonal
total magnetic moment = 0.0 μB per formula unit
E_tot = -56.41 eV/cell

(2)
Density functional theory data (PBE-GGA) for a relaxed ReSiNi2 crystal.

Lattice parameters (Å, degrees): 2.6320 3.6258 5.1200 90.00 90.00 90.00
Sites, in units of the cell vectors:
Re 0.0000 0.0000 0.0000
Si 0.0000 0.0000 0.5000
Ni 0.5000 0.5000 0.2586
Ni 0.5000 0.5000 0.7414

Summary:
raw formation energy = -95 meV/atom
space group = No. 47
crystal system = orthorhombic
total magnetic moment = 0.0 μB per formula unit
E_tot = -29.81 eV/cell

(3)
Density functional theory data (PBE-GGA) for a relaxed ReSiNi2 crystal.

Lattice parameters (Å, degrees): 3.8064 5.0253 5.0253 30.59 90.00 90.00
Sites, in units of the cell vectors:
Re 0.0000 0.0000 0.0000
Si 0.5000 0.6187 0.6187
Ni 0.0000 0.7450 0.7450
Ni 0.5000 0.3585 0.3585

Summary:
raw formation energy = -168 meV/atom
space group = No. 38
crystal system = orthorhombic
total magnetic moment = 0.0 μB per formula unit
E_tot = -30.10 eV/cell

(4)
Density functional theory data (PBE-GGA) for a relaxed Re2SiNi crystal.

Lattice parameters (Å, degrees): 2.7061 3.9101 5.2193 90.00 99.96 90.00
Sites, in units of the cell vectors:
Re 0.1129 0.0000 0.2515
Re 0.8871 0.0000 0.7485
Si 0.5000 0.5000 0.5000
Ni 0.5000 0.5000 0.0000

Summary:
raw formation energy = 90 meV/atom
space group = No. 10
crystal system = monoclinic
total magnetic moment = 0.0 μB per formula unit
E_tot = -35.74 eV/cell

(5)
Density functional theory data (PBE-GGA) for a relaxed ReSiNi crystal.

Lattice parameters (Å, degrees): 3.9266 3.9266 3.9266 60.00 60.00 60.00
Sites, in units of the cell vectors:
Re 0.0000 0.0000 0.0000
Si 0.2500 0.2500 0.2500
Ni 0.5000 0.5000 0.5000

Summary:
raw formation energy = 45 meV/atom
space group = No. 216
crystal system = cubic
total magnetic moment = 0.0 μB per formula unit
E_tot = -23.52 eV/cell

(6)
Density functional theory data (PBE-GGA) for a relaxed ReSiNi3 crystal.

Lattice parameters (Å, degrees): 4.0910 4.0910 4.0910 90.00 90.00 90.00
Sites, in units of the cell vectors:
Re 0.0000 0.0000 0.0000
Si 0.5000 0.5000 0.5000
Ni 0.0000 0.5000 0.5000
Ni 0.5000 0.0000 0.5000
Ni 0.5000 0.5000 0.0000

Summary:
raw formation energy = 860 meV/atom
space group = No. 221
crystal system = cubic
total magnetic moment = 0.1 μB per formula unit
E_tot = -30.91 eV/cell

(7)
Density functional theory data (PBE-GGA) for a relaxed ReSiNi2 crystal.

Lattice parameters (Å, degrees): 4.8261 4.8261 4.8261 145.29 130.02 62.29
Sites, in units of the cell vectors:
Re 0.0000 0.0000 0.0000
Si 0.5000 0.5000 0.0000
Ni 0.2709 0.7709 0.5000
Ni 0.7291 0.2291 0.5000

Summary:
raw formation energy = -141 meV/atom
space group = No. 71
crystal system = orthorhombic
total magnetic moment = 0.0 μB per formula unit
E_tot = -30.00 eV/cell

(8)
Density functional theory data (PBE-GGA) for a relaxed ReSiNi crystal.

Lattice parameters (Å, degrees): 4.8919 4.8919 4.8919 145.43 145.43 49.70
Sites, in units of the cell vectors:
Re 0.0000 0.0000 0.0000
Si 0.6688 0.6688 0.0000
Ni 0.3059 0.3059 0.0000

Summary:
raw formation energy = -102 meV/atom
space group = No. 107
crystal system = tetragonal
total magnetic moment = 0.0 μB per formula unit
E_tot = -23.96 eV/cell

(9)
Density functional theory data (PBE-GGA) for a relaxed Re2SiNi crystal.

Lattice parameters (Å, degrees): 2.8538 2.8538 6.4634 90.00 90.00 90.00
Sites, in units of the cell vectors:
Re 0.0000 0.0000 0.0000
Re 0.5000 0.5000 0.2739
Si 0.0000 0.0000 0.5269
Ni 0.5000 0.5000 0.7148

Summary:
raw formation energy = -116 meV/atom
space group = No. 99
crystal system = tetragonal
total magnetic moment = 0.0 μB per formula unit
E_tot = -36.56 eV/cell

(10)
Density functional theory data (PBE-GGA) for a relaxed ReSiNi2 crystal.

Lattice parameters (Å, degrees): 2.6251 2.6251 6.9444 90.00 90.00 90.00
Sites, in units of the cell vectors:
Re 0.0000 0.0000 0.0000
Si 0.0000 0.0000 0.5000
Ni 0.5000 0.5000 0.2786
Ni 0.5000 0.5000 0.7214

Summary:
raw formation energy = -167 meV/atom
space group = No. 123
crystal system = tetragonal
total magnetic moment = 0.0 μB per formula unit
E_tot = -30.10 eV/cell

(11)
Density functional theory data (PBE-GGA) for a relaxed Re2SiNi crystal.

Lattice parameters (Å, degrees): 4.5553 4.5553 4.5553 130.55 130.55 72.53
Sites, in units of the cell vectors:
Re 0.0000 0.0000 0.0000
Re 0.7500 0.2500 0.5000
Si 0.2500 0.7500 0.5000
Ni 0.5000 0.5000 0.0000

Summary:
raw formation energy = -63 meV/atom
space group = No. 119
crystal system = tetragonal
total magnetic moment = 0.0 μB per formula unit
E_tot = -36.35 eV/cell

(12)
Density functional theory data (PBE-GGA) for a relaxed Re3SiNi crystal.

Lattice parameters (Å, degrees): 4.3680 4.3680 4.3680 90.00 90.00 90.00
Sites, in units of the cell vectors:
Re 0.0000 0.0000 0.5000
Re 0.0000 0.5000 0.0000
Re 0.5000 0.0000 0.0000
Si 0.0000 0.0000 0.0000
Ni 0.5000 0.5000 0.5000

Summary:
raw formation energy = 1469 meV/atom
space group = No. 221
crystal system = cubic
total magnetic moment = 0.0 μB per formula unit
E_tot = -41.20 eV/cell